# Li12GaCu6

An optimized crystal structure of Li12GaCu6 (PBE, Alexandria).

a = 6.6300 Å, b = 6.6300 Å, c = 6.6300 Å
α = 88.85°, β = 88.85°, γ = 88.85°
Last column: nearest neighbours and their distance in Å.
Element x y z (fractional)
Li  0.0248  0.9199  0.3100  4 Cu 2.65-2.82, 5 Li 2.73-2.89
Li  0.0801  0.6900  0.9752  4 Cu 2.65-2.82, 5 Li 2.73-2.89
Li  0.1168  0.4624  0.3490  4 Li 2.56-2.83, 4 Cu 2.69-2.78, 1 Ga 2.77
Li  0.3100  0.0248  0.9199  4 Cu 2.65-2.82, 5 Li 2.73-2.89
Li  0.3490  0.1168  0.4624  4 Li 2.56-2.83, 4 Cu 2.69-2.78, 1 Ga 2.77
Li  0.4624  0.3490  0.1168  4 Li 2.56-2.83, 4 Cu 2.69-2.78, 1 Ga 2.77
Li  0.5376  0.6510  0.8832  4 Li 2.56-2.83, 4 Cu 2.69-2.78, 1 Ga 2.77
Li  0.6510  0.8832  0.5376  4 Li 2.56-2.83, 4 Cu 2.69-2.78, 1 Ga 2.77
Li  0.6900  0.9752  0.0801  4 Cu 2.65-2.82, 5 Li 2.73-2.89
Li  0.8832  0.5376  0.6510  4 Li 2.56-2.83, 4 Cu 2.69-2.78, 1 Ga 2.77
Li  0.9199  0.3100  0.0248  4 Cu 2.65-2.82, 5 Li 2.73-2.89
Li  0.9752  0.0801  0.6900  4 Cu 2.65-2.82, 5 Li 2.73-2.89
Ga  0.5000  0.5000  0.5000  6 Cu 2.50, 6 Li 2.77
Cu  0.2378  0.7532  0.6090  1 Ga 2.50, 2 Cu 2.59, 6 Li 2.65-2.78
Cu  0.2468  0.3910  0.7622  1 Ga 2.50, 2 Cu 2.59, 6 Li 2.65-2.78
Cu  0.3910  0.7622  0.2468  1 Ga 2.50, 2 Cu 2.59, 6 Li 2.65-2.78
Cu  0.6090  0.2378  0.7532  1 Ga 2.50, 2 Cu 2.59, 6 Li 2.65-2.78
Cu  0.7532  0.6090  0.2378  1 Ga 2.50, 2 Cu 2.59, 6 Li 2.65-2.78
Cu  0.7622  0.2468  0.3910  1 Ga 2.50, 2 Cu 2.59, 6 Li 2.65-2.78

Crystal system: trigonal
DFT formation energy, eV/f.u.: -0.9